Here is a geometry-optimized Ca8TlZn2 structure from the Alexandria database. Energies are from PBE-GGA.

```
data_Ca8TlZn2
_cell_length_a 9.422
_cell_length_b 14.153
_cell_length_c 5.763
_cell_angle_alpha 90.00
_cell_angle_beta 105.80
_cell_angle_gamma 90.00
_space_group_name_H-M_alt 'C 1 2/m 1'
_space_group_IT_number 12
_space_group_name_Hall '-C 2y'
loop_
_atom_site_label
_atom_site_fract_x
_atom_site_fract_y
_atom_site_fract_z
Ca1 0.000 0.236 0.000
Ca2 0.126 0.500 0.810
Ca3 0.196 0.128 0.587
Tl1 0.000 0.000 0.000
Zn1 0.000 0.317 0.500
```

Properties
Offset from the most stable computed form, kcal/mol of atoms: 0.58
Size of the total moment, μB per cell: 0.000
DFT formation energy, eV/f.u.: -1.547
Electronic total energy, Ry per atom: -0.150


Here is a geometry-optimized HoGa2I8 structure from the Alexandria database. Energies are from PBE-GGA.

```
data_HoGa2I8
_cell_length_a 13.778
_cell_length_b 11.529
_cell_length_c 7.224
_cell_angle_alpha 90.00
_cell_angle_beta 100.68
_cell_angle_gamma 90.00
_space_group_name_H-M_alt 'C 1 2/m 1'
_space_group_IT_number 12
_space_group_name_Hall '-C 2y'
loop_
_atom_site_label
_atom_site_fract_x
_atom_site_fract_y
_atom_site_fract_z
Ho1 0.000 0.000 0.000
Ga1 0.201 0.000 0.671
I1 0.094 0.179 0.784
I2 0.116 0.500 0.160
I3 0.194 0.000 0.289
```

Properties
Formation energy (no corrections), eV per formula unit: -8.01
Size of the total moment, μB per cell: 0.000
Electronic total energy, Ry per atom: -0.207


Here is a geometry-optimized NdB3Rh6 structure from the Alexandria database. Energies are from PBE-GGA.

```
data_NdB3Rh6
_cell_length_a 5.528
_cell_length_b 5.606
_cell_length_c 5.618
_cell_angle_alpha 119.75
_cell_angle_beta 106.92
_cell_angle_gamma 90.02
_space_group_name_H-M_alt 'P 1'
_space_group_IT_number 1
_space_group_name_Hall 'P 1'
loop_
_atom_site_label
_atom_site_fract_x
_atom_site_fract_y
_atom_site_fract_z
Nd1 0.000 0.000 0.000
B1 0.041 0.339 0.678
B2 0.060 0.666 0.328
B3 0.514 0.229 0.458
Rh1 0.309 0.056 0.606
Rh2 0.309 0.551 0.604
Rh3 0.316 0.552 0.100
Rh4 0.764 0.945 0.404
Rh5 0.765 0.460 0.405
Rh6 0.767 0.455 0.910
```

Properties
Size of the total moment, μB per cell: 0.000
DFT formation energy, eV/f.u.: -4.721
Electronic total energy, Ry per atom: -0.541


Here is a geometry-optimized LiReN2O structure from the Alexandria database. Energies are from PBE-GGA.

```
data_LiReN2O
_cell_length_a 3.865
_cell_length_b 3.865
_cell_length_c 3.901
_cell_angle_alpha 90.00
_cell_angle_beta 90.00
_cell_angle_gamma 90.00
_space_group_name_H-M_alt 'P 4/m m m'
_space_group_IT_number 123
_space_group_name_Hall '-P 4 2'
loop_
_atom_site_label
_atom_site_fract_x
_atom_site_fract_y
_atom_site_fract_z
Li1 0.000 0.000 0.000
Re1 0.500 0.500 0.500
N1 0.000 0.500 0.500
O1 0.500 0.500 0.000
```

Properties
Formation energy (no corrections), eV per formula unit: -2.01
Size of the total moment, μB per cell: 0.032
Electronic total energy, Ry per atom: -0.558


Here is a geometry-optimized PmAl6Fe3 structure from the Alexandria database. Energies are from PBE-GGA.

```
data_PmAl6Fe3
_cell_length_a 5.4132
_cell_length_b 5.4132
_cell_length_c 19.1789
_cell_angle_alpha 90.00
_cell_angle_beta 90.00
_cell_angle_gamma 120.00
_space_group_name_H-M_alt 'R 3 m'
_space_group_IT_number 160
_space_group_name_Hall 'R 3 -2"'
loop_
_atom_site_label
_atom_site_fract_x
_atom_site_fract_y
_atom_site_fract_z
Pm1 0.0000 0.0000 0.0000
Al1 0.9997 0.4998 0.9017
Al2 0.0024 0.5012 0.1014
Fe1 0.0000 0.0000 0.3389
Fe2 0.0000 0.0000 0.6706
Fe3 0.0000 0.0000 0.8608
```

Properties
Size of the total moment, μB per cell: 4.253
DFT formation energy, eV/f.u.: -2.272
Electronic total energy, Ry per atom: -0.403


Here is a geometry-optimized ZrMn3Pd6 structure from the Alexandria database. Energies are from PBE-GGA.

```
data_ZrMn3Pd6
_cell_length_a 8.433
_cell_length_b 4.131
_cell_length_c 9.135
_cell_angle_alpha 90.00
_cell_angle_beta 95.68
_cell_angle_gamma 90.00
_space_group_name_H-M_alt 'P 1 21/m 1'
_space_group_IT_number 11
_space_group_name_Hall '-P 2yb'
loop_
_atom_site_label
_atom_site_fract_x
_atom_site_fract_y
_atom_site_fract_z
Zr1 0.064 0.250 0.378
Mn1 0.251 0.250 0.022
Mn2 0.346 0.750 0.813
Mn3 0.447 0.250 0.604
Pd1 0.061 0.750 0.909
Pd2 0.158 0.250 0.709
Pd3 0.159 0.750 0.209
Pd4 0.258 0.750 0.516
Pd5 0.377 0.250 0.311
Pd6 0.463 0.750 0.101
```

Properties
Size of the total moment, μB per cell: 26.497
DFT formation energy, eV/f.u.: -3.697
Electronic total energy, Ry per atom: -0.521


Here is a geometry-optimized LiNpSn2Pt4 structure from the Alexandria database. Energies are from PBE-GGA.

```
data_LiNpSn2Pt4
_cell_length_a 4.4719
_cell_length_b 4.4719
_cell_length_c 25.6194
_cell_angle_alpha 90.00
_cell_angle_beta 90.00
_cell_angle_gamma 120.00
_space_group_name_H-M_alt 'R -3 m'
_space_group_IT_number 166
_space_group_name_Hall '-R 3 2"'
loop_
_atom_site_label
_atom_site_fract_x
_atom_site_fract_y
_atom_site_fract_z
Li1 0.0000 0.0000 0.0000
Np1 0.0000 0.0000 0.5000
Sn1 0.0000 0.0000 0.2597
Pt1 0.0000 0.0000 0.1069
Pt2 0.0000 0.0000 0.3669
```

Properties
Size of the total moment, μB per cell: 10.287
DFT formation energy, eV/f.u.: -4.363
Electronic total energy, Ry per atom: -0.472


Here is a geometry-optimized Mn2NiN2 structure from the Alexandria database. Energies are from PBE-GGA.

```
data_Mn2NiN2
_cell_length_a 6.600
_cell_length_b 6.042
_cell_length_c 5.423
_cell_angle_alpha 90.00
_cell_angle_beta 90.00
_cell_angle_gamma 90.00
_space_group_name_H-M_alt 'C m c 21'
_space_group_IT_number 36
_space_group_name_Hall 'C 2c -2'
loop_
_atom_site_label
_atom_site_fract_x
_atom_site_fract_y
_atom_site_fract_z
Mn1 0.182 0.159 0.000
Ni1 0.000 0.478 0.224
N1 0.226 0.098 0.674
```

Properties
Formation energy (no corrections), eV per formula unit: -0.10
Size of the total moment, μB per cell: 12.618
Electronic total energy, Ry per atom: -0.601